Entry 1:
Entry from the Alexandria database: an optimized crystal structure of Tb2SmY (PBE).

- DFT total energy (eV per atom) = -5.09
- formation enthalpy at 0 K (eV per atom) = 0.0215
- energy above the lowest structure with this stoichiometry (meV per atom) = 15
- spin magnetization (μB/atom) = 0.000

```
8
Lattice="5.069 0.000 0.000 0.000 10.115 0.000 0.000 0.000 5.069" Properties=species:S:1:pos:R:3 pbc="T T T"
Tb 1.267 5.056 1.267
Tb 3.802 10.113 3.801
Tb 3.802 5.058 3.801
Tb 1.267 0.001 1.267
Y 3.802 7.586 1.266
Y 1.267 2.529 3.802
Sm 1.267 7.586 3.800
Sm 3.802 2.529 1.269
```

Entry 2:
Entry from the Alexandria database: an optimized crystal structure of Tb2Sm4Y3 (PBE).

- DFT total energy (eV per atom) = -5.26
- formation enthalpy at 0 K (eV per atom) = 0.0169
- energy above the lowest structure with this stoichiometry (meV per atom) = 0
- spin magnetization (μB/atom) = 0.000

```
9
Lattice="5.086 0.000 0.000 -2.543 5.422 -5.354 0.000 -3.686 14.361" Properties=species:S:1:pos:R:3 pbc="T T T"
Sm 2.543 -1.887 12.574
Sm 0.000 3.622 -3.567
Sm 2.543 1.752 5.409
Sm 0.000 -0.017 3.598
Y 2.543 -1.849 8.972
Y 0.000 0.000 0.000
Y 0.000 3.584 0.035
Tb 0.000 -0.055 7.194
Tb 2.543 1.791 1.813
```

Entry 3:
Entry from the Alexandria database: an optimized crystal structure of Tb2Sm4Y5 (PBE).

- DFT total energy (eV per atom) = -5.39
- formation enthalpy at 0 K (eV per atom) = 0.1018
- energy above the lowest structure with this stoichiometry (meV per atom) = 16
- spin magnetization (μB/atom) = 0.000

```
11
Lattice="3.452 0.000 -0.842 -0.425 8.460 -1.742 1.112 1.536 12.054" Properties=species:S:1:pos:R:3 pbc="T T T"
Sm 2.647 7.689 3.356
Sm 4.060 6.970 9.149
Sm 0.078 3.027 0.322
Sm 1.492 2.307 6.114
Y 3.419 9.191 6.517
Y 3.290 5.422 5.989
Y 0.849 4.575 3.481
Y 0.720 0.805 2.953
Y 1.726 0.000 -0.421
Tb 1.930 6.150 0.414
Tb 2.209 3.846 9.056
```

Entry 4:
Entry from the Alexandria database: an optimized crystal structure of Tb2SmY (PBE).

- DFT total energy (eV per atom) = -5.09
- formation enthalpy at 0 K (eV per atom) = 0.0185
- energy above the lowest structure with this stoichiometry (meV per atom) = 12
- spin magnetization (μB/atom) = 0.000

```
4
Lattice="3.579 0.000 0.000 0.000 3.579 0.000 0.000 0.000 10.136" Properties=species:S:1:pos:R:3 pbc="T T T"
Tb 0.000 0.000 2.546
Tb 0.000 0.000 7.590
Sm 1.789 1.789 0.000
Y 1.789 1.789 5.068
```

Entry 5:
Entry from the Alexandria database: an optimized crystal structure of TbSm9Y2 (PBE).

- DFT total energy (eV per atom) = -4.98
- formation enthalpy at 0 K (eV per atom) = 0.0176
- spin magnetization (μB/atom) = 0.000

```
12
Lattice="-3.750 3.103 1.551 -2.906 -4.057 1.092 5.684 -0.243 14.232" Properties=species:S:1:pos:R:3 pbc="T T T"
Sm 2.864 1.349 12.641
Sm 3.286 -2.231 12.411
Sm 0.461 -0.639 10.808
Sm -3.328 -0.477 1.321
Sm 0.967 1.430 7.891
Sm -1.433 -0.558 6.065
Sm 1.389 -2.150 7.662
Sm -0.508 -2.069 2.912
Sm -0.930 1.511 3.142
Tb 0.000 0.000 0.000
Y 1.895 -0.081 4.744
Y 3.789 -0.162 9.488
```

Entry 6:
Entry from the Alexandria database: an optimized crystal structure of Tb3Sm3Y (PBE).

- DFT total energy (eV per atom) = -4.79
- formation enthalpy at 0 K (eV per atom) = 0.1404
- energy above the lowest structure with this stoichiometry (meV per atom) = 0
- spin magnetization (μB/atom) = 0.000

```
14
Lattice="-4.032 -3.337 4.054 -1.742 -3.274 -5.484 7.818 -7.153 1.830" Properties=species:S:1:pos:R:3 pbc="T T T"
Tb -2.168 -3.286 -3.710
Tb 0.580 -8.499 0.084
Tb 0.301 -6.902 3.201
Tb -3.607 -3.325 2.281
Tb 1.464 -5.265 0.317
Tb 1.742 -6.863 -2.800
Sm -2.447 -6.378 1.155
Sm 1.772 -1.998 0.412
Sm 0.272 -11.766 -0.011
Sm -1.637 -6.356 -2.219
Sm 4.491 -7.387 -0.754
Sm 3.681 -7.409 2.620
Y 3.408 -11.083 0.746
Y -1.364 -2.681 -0.345
```

Entry 7:
Entry from the Alexandria database: an optimized crystal structure of Tb12Sm6Y (PBE).

- DFT total energy (eV per atom) = -4.60
- formation enthalpy at 0 K (eV per atom) = 0.1500
- energy above the lowest structure with this stoichiometry (meV per atom) = 0
- spin magnetization (μB/atom) = 0.000

```
19
Lattice="-0.293 7.714 3.768 -5.105 -3.025 6.210 6.791 -1.931 4.893" Properties=species:S:1:pos:R:3 pbc="T T T"
Tb 1.378 -1.198 3.057
Tb 2.873 1.348 8.541
Tb -1.480 1.410 6.329
Tb 1.409 -0.742 6.458
Tb 3.179 2.294 11.825
Tb -0.416 -0.016 9.102
Tb 1.809 2.773 5.768
Tb 0.187 0.442 12.449
Tb -1.786 0.463 3.045
Tb 1.207 2.315 2.422
Tb 0.015 3.955 11.813
Tb -0.016 3.499 8.413
Sm -1.794 -1.883 5.910
Sm 3.187 4.641 8.960
Sm -2.756 2.368 9.939
Sm 4.149 0.389 4.932
Sm -0.903 4.370 4.667
Sm 2.296 -1.612 10.203
Y 0.000 0.000 0.000
```

Entry 8:
Entry from the Alexandria database: an optimized crystal structure of Tb6SmY3 (PBE).

- DFT total energy (eV per atom) = -5.05
- formation enthalpy at 0 K (eV per atom) = 0.1413
- energy above the lowest structure with this stoichiometry (meV per atom) = 13
- spin magnetization (μB/atom) = 0.000

```
20
Lattice="-1.828 -3.434 4.801 7.017 -7.976 -3.034 3.376 7.905 6.941" Properties=species:S:1:pos:R:3 pbc="T T T"
Tb 5.770 -1.139 5.610
Tb 2.343 -1.116 4.322
Tb 6.076 -8.693 -0.544
Tb 7.021 -0.890 2.288
Tb 3.237 1.245 7.190
Tb 6.948 -6.379 4.982
Tb 3.593 -0.866 1.000
Tb 6.328 2.032 6.785
Tb 5.741 -3.974 0.433
Tb 1.858 4.002 10.909
Tb 1.188 2.067 4.853
Tb 1.808 -6.344 3.050
Y 1.332 -3.332 1.781
Y 4.560 -3.749 3.579
Y 4.667 1.488 3.389
Y 8.178 -3.378 4.354
Y -0.380 -1.568 6.368
Y 6.466 -1.615 8.941
Sm 5.099 -6.901 2.088
Sm 3.872 4.157 5.554
```